This record from the Alexandria database describes a relaxed AlZn2CoF crystal. The functional is PBE+U.

```
AlZn2CoF
1.0
4.633 0.000 0.000
0.000 4.633 0.000
0.000 0.000 3.751
Al Zn Co F
1 2 1 1
Direct
0.000 0.000 0.000
0.000 0.500 0.500
0.500 0.000 0.500
0.500 0.500 0.000
0.000 0.000 0.500
```

Calculated values
Crystal system: tetragonal
Calculated density in g/cm3: 4.9
E in eV per atom: -2.61
SG: No. 123